[1]
Computed, not measured: a geometry-optimized Na2HF structure at the PBE-GGA level of DFT.

It has space group P4/mmm (No. 123), with a = 3.360 Å, b = 3.360 Å, c = 4.741 Å, α = 90.00°, β = 90.00° and γ = 90.00°. The distinct sites, in fractional coordinates, are Na at (0.000, 0.000, 0.000), Na at (0.500, 0.500, 0.500), H at (0.000, 0.000, 0.500) and F at (0.500, 0.500, 0.000).

As for the crystal system: tetragonal. The energy above the most stable polymorph in this dataset is 0.01 eV per formula unit.


[2]
Computed, not measured: a geometry-optimized Na6H5F structure at the PBE-GGA level of DFT.

It has space group C2/m (No. 12), with a = 5.882 Å, b = 10.184 Å, c = 5.881 Å, α = 90.00°, β = 109.50° and γ = 90.00°. The distinct sites, in fractional coordinates, are Na at (0.247, 0.000, 0.253), Na at (0.248, 0.165, 0.749), H at (0.000, 0.167, 0.000), H at (0.000, 0.333, 0.500), H at (0.000, 0.500, 0.000) and F at (0.000, 0.000, 0.500).

As for the crystal system: monoclinic. As for the uncorrected energy: -2.8368 eV/atom.


[3]
Computed, not measured: a geometry-optimized NaHF2 structure at the PBE-GGA level of DFT.

It has space group Ibam (No. 72), with a = 5.242 Å, b = 5.261 Å, c = 5.932 Å, α = 90.00°, β = 90.00° and γ = 90.00°. The distinct sites, in fractional coordinates, are Na at (0.000, 0.000, 0.250), H at (0.000, 0.500, 0.000) and F at (0.156, 0.346, 0.000).

As for the crystal system: orthorhombic. The energy above the most stable polymorph in this dataset is 0.18 eV per formula unit.